# SCAN BeReS3, single point on PBEsol structure
# Raw total energy in eV per atom: -19.85
# ΔE_f (raw) in eV per atom: 1.0155
# Magnetic moment in μB per formula unit: 0.04
# Density of states at the Fermi level in states/eV per atom: 0.640
data_BeReS3
_chemical_formula_sum 'Be1 Re1 S3'
_cell_length_a 4.1135
_cell_length_b 4.1135
_cell_length_c 4.1135
_cell_angle_alpha 90.00
_cell_angle_beta 90.00
_cell_angle_gamma 90.00
_space_group_name_H-M_alt 'P m -3 m'
_space_group_IT_number 221
_space_group_name_Hall '-P 4 2 3'
loop_
_atom_site_label
_atom_site_type_symbol
_atom_site_fract_x
_atom_site_fract_y
_atom_site_fract_z
_atom_site_occupancy
Be1 Be 0.0000 0.0000 0.0000 1
Re1 Re 0.5000 0.5000 0.5000 1
S1 S 0.0000 0.0000 0.5000 1